1.
The following is a GGA-PBE calculation of an optimized crystal structure of Re2SeCl, from the Alexandria database.

abc: 2.6707 4.2987 5.9701
angles: 90.00 90.42 90.00
With the nearest neighbours (Å) after each atom.
Fractional coordinates of all 4 atoms:
Re 0.0018 0.0000 0.2844  2 Cl 2.51, 3 Re 2.57-2.67, 2 Se 2.74
Re 0.9982 0.0000 0.7156  2 Cl 2.51, 3 Re 2.57-2.67, 2 Se 2.74
Se 0.0000 0.5000 0.0000  2 Se 2.67, 4 Re 2.74, 2 Cl 2.99
Cl 0.0000 0.5000 0.5000  4 Re 2.51, 2 Cl 2.67

## Properties
spin magnetization: 0.000 μB/f.u.

2.
The following is a GGA-PBE calculation of an optimized crystal structure of LaTa3Pd, from the Alexandria database.

abc: 4.9660 4.9660 4.9660
angles: 90.00 90.00 90.00
With the nearest neighbours (Å) after each atom.
Fractional coordinates of all 5 atoms:
La 0.0000 0.0000 0.0000  12 Ta 3.51
Ta 0.0000 0.5000 0.5000  2 Pd 2.48
Ta 0.5000 0.0000 0.5000  2 Pd 2.48
Ta 0.5000 0.5000 0.0000  2 Pd 2.48
Pd 0.5000 0.5000 0.5000  6 Ta 2.48

## Properties
spin magnetization: 0.003 μB/f.u.
ΔH_f (0 K): 104.3 kJ/mol of atoms

3.
The following is a GGA-PBE calculation of an optimized crystal structure of LiCaZn2Au4, from the Alexandria database.

abc: 8.7810 8.7810 8.7810
angles: 29.78 29.78 29.78
With the nearest neighbours (Å) after each atom.
Fractional coordinates of all 8 atoms:
Li 0.0000 0.0000 0.0000  8 Au 2.56-2.77
Ca 0.5000 0.5000 0.5000  8 Au 3.07-3.25
Zn 0.2588 0.2588 0.2588  7 Au 2.69-2.81
Zn 0.7412 0.7412 0.7412  7 Au 2.69-2.81
Au 0.1018 0.1018 0.1018  1 Li 2.56, 3 Zn 2.69
Au 0.3706 0.3706 0.3706  4 Zn 2.77-2.81, 3 Li 2.77, 3 Au 3.07
Au 0.6294 0.6294 0.6294  4 Zn 2.77-2.81, 3 Li 2.77, 3 Au 3.07
Au 0.8982 0.8982 0.8982  1 Li 2.56, 3 Zn 2.69

## Properties
spin magnetization: 0.000 μB/f.u.
ΔH_f (0 K): -45.6 kJ/mol of atoms

4.
The following is a GGA-PBE calculation of an optimized crystal structure of H2Rh2Pb, from the Alexandria database.

abc: 3.3430 3.3430 10.4484
angles: 90.00 90.00 90.00
With the nearest neighbours (Å) after each atom.
Fractional coordinates of all 10 atoms:
H 0.0000 0.5000 0.2500  4 Rh 1.93
H 0.0000 0.5000 0.7500  4 Rh 1.93
H 0.5000 0.0000 0.2500  4 Rh 1.93
H 0.5000 0.0000 0.7500  4 Rh 1.93
Rh 0.0000 0.0000 0.1583  4 H 1.93
Rh 0.0000 0.0000 0.8417  4 H 1.93
Rh 0.5000 0.5000 0.3417  4 H 1.93
Rh 0.5000 0.5000 0.6583  4 H 1.93
Pb 0.0000 0.0000 0.5000  8 Rh 2.89, 8 H 3.10
Pb 0.5000 0.5000 0.0000  8 Rh 2.89, 8 H 3.10

## Properties
spin magnetization: 0.000 μB/f.u.

5.
The following is a GGA-PBE calculation of an optimized crystal structure of HgTePt, from the Alexandria database.

abc: 11.5993 6.7512 5.7703
angles: 90.00 90.00 90.00
With the nearest neighbours (Å) after each atom.
Fractional coordinates of all 18 atoms:
Hg 0.0000 0.0464 0.0000  3 Pt 2.74-2.87
Hg 0.1532 0.5657 0.0622  3 Pt 2.80-2.95
Hg 0.3468 0.4343 0.5622  3 Pt 2.80-2.95
Hg 0.5000 0.9536 0.5000  3 Pt 2.74-2.87
Hg 0.6532 0.4343 0.5622  3 Pt 2.80-2.95
Hg 0.8468 0.5657 0.0622  3 Pt 2.80-2.95
Te 0.0000 0.3395 0.5787  3 Pt 2.62-2.66
Te 0.1779 0.8477 0.4937  3 Pt 2.60-2.67
Te 0.3221 0.1523 0.9937  3 Pt 2.60-2.67
Te 0.5000 0.6605 0.0787  3 Pt 2.62-2.66
Te 0.6779 0.1523 0.9937  3 Pt 2.60-2.67
Te 0.8221 0.8477 0.4937  3 Pt 2.60-2.67
Pt 0.0000 0.7126 0.7294  3 Te 2.63-2.66, 3 Hg 2.74-2.80
Pt 0.1672 0.2111 0.3118  3 Te 2.60-2.67, 2 Hg 2.80-2.87
Pt 0.3328 0.7889 0.8118  3 Te 2.60-2.67, 2 Hg 2.80-2.87
Pt 0.5000 0.2874 0.2294  3 Te 2.63-2.66, 3 Hg 2.74-2.80
Pt 0.6672 0.7889 0.8118  3 Te 2.60-2.67, 2 Hg 2.80-2.87
Pt 0.8328 0.2111 0.3118  3 Te 2.60-2.67, 2 Hg 2.80-2.87

## Properties
spin magnetization: 0.000 μB/f.u.

6.
The following is a GGA-PBE calculation of an optimized crystal structure of Pr2NdAg2Hg2, from the Alexandria database.

abc: 9.5019 9.5019 9.5019
angles: 30.11 30.11 30.11
With the nearest neighbours (Å) after each atom.
Fractional coordinates of all 7 atoms:
Pr 0.1235 0.1235 0.1235  3 Hg 3.20, 3 Ag 3.29, 1 Nd 3.36
Pr 0.8765 0.8765 0.8765  3 Hg 3.20, 3 Ag 3.29, 1 Nd 3.36
Nd 0.0000 0.0000 0.0000  6 Ag 3.33, 2 Pr 3.36, 6 Hg 3.43
Ag 0.3967 0.3967 0.3967  3 Hg 2.86
Ag 0.6033 0.6033 0.6033  3 Hg 2.86
Hg 0.2630 0.2630 0.2630  3 Ag 2.86, 3 Pr 3.20
Hg 0.7370 0.7370 0.7370  3 Ag 2.86, 3 Pr 3.20

## Properties
spin magnetization: 0.000 μB/f.u.
ΔH_f (0 K): -25.2 kJ/mol of atoms

7.
The following is a GGA-PBE calculation of an optimized crystal structure of TbGdMn2, from the Alexandria database.

abc: 5.0123 5.0123 3.5581
angles: 90.00 90.00 90.00
With the nearest neighbours (Å) after each atom.
Fractional coordinates of all 4 atoms:
Tb 0.0000 0.0000 0.0000  8 Mn 3.07
Gd 0.5000 0.5000 0.0000  8 Mn 3.07
Mn 0.0000 0.5000 0.5000  4 Gd 3.07, 4 Tb 3.07
Mn 0.5000 0.0000 0.5000  4 Gd 3.07, 4 Tb 3.07

## Properties
spin magnetization: 0.604 μB/f.u.
ΔH_f (0 K): 18.4 kJ/mol of atoms

8.
The following is a GGA-PBE calculation of an optimized crystal structure of Re2SeCl, from the Alexandria database.

abc: 2.9010 5.3823 8.4639
angles: 90.00 90.00 90.00
With the nearest neighbours (Å) after each atom.
Fractional coordinates of all 8 atoms:
Re 0.0000 0.0000 0.2371  2 Se 2.48, 2 Cl 2.66
Re 0.0000 0.0000 0.7629  2 Se 2.48, 2 Cl 2.66
Re 0.5000 0.5000 0.2371  2 Se 2.48, 2 Cl 2.66
Re 0.5000 0.5000 0.7629  2 Se 2.48, 2 Cl 2.66
Se 0.0000 0.5000 0.0000  4 Re 2.48
Se 0.5000 0.0000 0.0000  4 Re 2.48
Cl 0.0000 0.5000 0.5000  4 Re 2.66, 2 Cl 2.90
Cl 0.5000 0.0000 0.5000  4 Re 2.66, 2 Cl 2.90

## Properties
spin magnetization: 0.000 μB/f.u.

The records above yield electronic total energy values of -26.3 -40.3 -23.4 -49.9 -60.5 -22.5 -36.3 -51.8 eV for the cell shown, respectively.